Entry 1:
The following is a GGA-PBEsol calculation of a geometry-optimized Ag6Pt5 structure, from the Alexandria database. Values from VASP.

* volume: 172.4 Å³ per cell
* energy above the lowest structure with this stoichiometry: 0.0 meV/atom
* total magnetic moment: 0.00 μB per cell

The structure in Quantum ESPRESSO input format:
```
&SYSTEM
  ibrav = 0, nat = 11, ntyp = 2
/
ATOMIC_SPECIES
Ag 107.87 Ag.upf
Pt 195.08 Pt.upf
CELL_PARAMETERS angstrom
7.2654 -1.3885 0.0000
7.2654 1.3885 0.0000
-0.5931 0.0000 8.5428
ATOMIC_POSITIONS crystal
Ag 0.0000 0.0000 0.0000
Ag 0.1850 0.1850 0.9060
Ag 0.2722 0.2722 0.3581
Ag 0.3611 0.3611 0.8115
Ag 0.5444 0.5444 0.7274
Ag 0.6369 0.6369 0.1792
Pt 0.0879 0.0879 0.4541
Pt 0.4554 0.4554 0.2756
Pt 0.7236 0.7236 0.6216
Pt 0.8229 0.8229 0.0932
Pt 0.9076 0.9076 0.5425
```

Entry 2:
The following is a GGA-PBEsol calculation of a geometry-optimized HfIn2OsO structure, from the Alexandria database. Values from VASP.

* volume: 88.6 Å³ per cell
* total magnetic moment: 0.00 μB per cell
* formation energy from raw total energies: 19 meV per atom

The structure in Quantum ESPRESSO input format:
```
&SYSTEM
  ibrav = 0, nat = 5, ntyp = 4
/
ATOMIC_SPECIES
Hf 178.49 Hf.upf
In 114.82 In.upf
Os 190.23 Os.upf
O 16.00 O.upf
CELL_PARAMETERS angstrom
4.8498 0.0000 0.0000
0.0000 4.8498 0.0000
0.0000 0.0000 3.7656
ATOMIC_POSITIONS crystal
Hf 0.0000 0.0000 0.0000
In 0.0000 0.5000 0.5000
In 0.5000 0.0000 0.5000
Os 0.5000 0.5000 0.0000
O 0.5000 0.5000 0.5000
```

Entry 3:
The following is a GGA-PBEsol calculation of a geometry-optimized SrOs2Cl structure, from the Alexandria database. Values from VASP.

* volume: 85.0 Å³ per cell
* total magnetic moment: 0.00 μB per cell
* formation energy from raw total energies: 101 meV per atom

The structure in Quantum ESPRESSO input format:
```
&SYSTEM
  ibrav = 0, nat = 4, ntyp = 3
/
ATOMIC_SPECIES
Sr 87.62 Sr.upf
Os 190.23 Os.upf
Cl 35.45 Cl.upf
CELL_PARAMETERS angstrom
2.9361 0.0000 0.0000
0.0000 3.7190 0.0000
0.0000 0.0000 7.7867
ATOMIC_POSITIONS crystal
Sr 0.0000 0.0000 0.0000
Os 0.0000 0.0000 0.5849
Os 0.5000 0.5000 0.6968
Cl 0.5000 0.5000 0.2063
```

Entry 4:
The following is a GGA-PBEsol calculation of a geometry-optimized Eu2SO2 structure, from the Alexandria database. Values from VASP.

* volume: 85.8 Å³ per cell
* total magnetic moment: 12.00 μB per cell
* formation energy from raw total energies: -2607 meV per atom

The structure in Quantum ESPRESSO input format:
```
&SYSTEM
  ibrav = 0, nat = 5, ntyp = 3
/
ATOMIC_SPECIES
Eu 151.96 Eu.upf
S 32.06 S.upf
O 16.00 O.upf
CELL_PARAMETERS angstrom
3.8559 0.0000 0.0000
-1.9279 3.3393 0.0000
0.0000 0.0000 6.6614
ATOMIC_POSITIONS crystal
Eu 0.3333 0.6667 0.2808
Eu 0.6667 0.3333 0.7192
S 0.0000 0.0000 0.0000
O 0.3333 0.6667 0.6317
O 0.6667 0.3333 0.3683
```

Entry 5:
The following is a GGA-PBEsol calculation of a geometry-optimized CuAg3 structure, from the Alexandria database. Values from VASP.

* volume: 62.1 Å³ per cell
* energy: -13.761 eV/cell
* total magnetic moment: 0.00 μB per cell

The structure in Quantum ESPRESSO input format:
```
&SYSTEM
  ibrav = 0, nat = 4, ntyp = 2
/
ATOMIC_SPECIES
Cu 63.55 Cu.upf
Ag 107.87 Ag.upf
CELL_PARAMETERS angstrom
4.4287 2.5569 0.9134
-4.4287 2.5569 0.9134
0.0000 -5.1138 0.9134
ATOMIC_POSITIONS crystal
Cu 0.0000 0.0000 0.0000
Ag 0.0000 0.5000 0.5000
Ag 0.5000 0.0000 0.5000
Ag 0.5000 0.5000 0.0000
```

Entry 6:
The following is a GGA-PBEsol calculation of a geometry-optimized TcMo3 structure, from the Alexandria database. Values from VASP.

* volume: 119.8 Å³ per cell
* energy above the lowest structure with this stoichiometry: 14.1 meV/atom
* total magnetic moment: 0.00 μB per cell

The structure in Quantum ESPRESSO input format:
```
&SYSTEM
  ibrav = 0, nat = 8, ntyp = 2
/
ATOMIC_SPECIES
Tc 98.00 Tc.upf
Mo 95.94 Mo.upf
CELL_PARAMETERS angstrom
3.1127 -4.3942 0.0000
3.1127 4.3942 0.0000
0.0000 0.0000 4.3790
ATOMIC_POSITIONS crystal
Tc 0.1221 0.8779 0.7500
Tc 0.8779 0.1221 0.2500
Mo 0.1268 0.3765 0.7500
Mo 0.3729 0.6271 0.2500
Mo 0.3765 0.1268 0.2500
Mo 0.6235 0.8732 0.7500
Mo 0.6271 0.3729 0.7500
Mo 0.8732 0.6235 0.2500
```

Entry 7:
The following is a GGA-PBEsol calculation of a geometry-optimized Ba2TbCl7 structure, from the Alexandria database. Values from VASP.

* volume: 1092.5 Å³ per cell
* total magnetic moment: 0.00 μB per cell
* formation energy from raw total energies: -2455 meV per atom

The structure in Quantum ESPRESSO input format:
```
&SYSTEM
  ibrav = 0, nat = 40, ntyp = 3
/
ATOMIC_SPECIES
Ba 137.33 Ba.upf
Tb 158.93 Tb.upf
Cl 35.45 Cl.upf
CELL_PARAMETERS angstrom
6.7857 0.0000 0.0000
0.0000 15.4153 0.0000
-0.1388 0.0000 10.4444
ATOMIC_POSITIONS crystal
Ba 0.2343 0.2203 0.4502
Ba 0.2343 0.2797 0.9502
Ba 0.2358 0.5609 0.3238
Ba 0.2358 0.9391 0.8238
Ba 0.7642 0.0609 0.1762
Ba 0.7642 0.4391 0.6762
Ba 0.7657 0.7203 0.0498
Ba 0.7657 0.7797 0.5498
Tb 0.2793 0.6269 0.7823
Tb 0.2793 0.8731 0.2823
Tb 0.7207 0.1269 0.7177
Tb 0.7207 0.3731 0.2177
Cl 0.0108 0.7419 0.3030
Cl 0.0108 0.7581 0.8030
Cl 0.0119 0.6047 0.5847
Cl 0.0119 0.8953 0.0847
Cl 0.2020 0.0420 0.2874
Cl 0.2020 0.4580 0.7874
Cl 0.2059 0.6400 0.0318
Cl 0.2059 0.8600 0.5318
Cl 0.3726 0.0691 0.6208
Cl 0.3726 0.4309 0.1208
Cl 0.4976 0.1039 0.9283
Cl 0.4983 0.2277 0.2032
Cl 0.4983 0.2723 0.7032
Cl 0.4976 0.3961 0.4283
Cl 0.5024 0.6039 0.5717
Cl 0.5017 0.7277 0.2968
Cl 0.5017 0.7723 0.7968
Cl 0.5024 0.8961 0.0717
Cl 0.6274 0.5691 0.8792
Cl 0.6274 0.9309 0.3792
Cl 0.7941 0.1400 0.4682
Cl 0.7941 0.3600 0.9682
Cl 0.7980 0.5420 0.2126
Cl 0.7980 0.9580 0.7126
Cl 0.9881 0.1047 0.9153
Cl 0.9881 0.3953 0.4153
Cl 0.9892 0.2419 0.1970
Cl 0.9892 0.2581 0.6970
```

Entry 8:
The following is a GGA-PBEsol calculation of a geometry-optimized KAlAg structure, from the Alexandria database. Values from VASP.

* volume: 75.8 Å³ per cell
* energy above the lowest structure with this stoichiometry: 0.0 meV/atom
* total magnetic moment: 0.00 μB per cell

The structure in Quantum ESPRESSO input format:
```
&SYSTEM
  ibrav = 0, nat = 3, ntyp = 3
/
ATOMIC_SPECIES
K 39.10 K.upf
Al 26.98 Al.upf
Ag 107.87 Ag.upf
CELL_PARAMETERS angstrom
-1.4515 2.1511 6.0650
1.4515 -2.1511 6.0650
1.4515 2.1511 -6.0650
ATOMIC_POSITIONS crystal
K 0.0000 0.0000 0.0000
Al 0.2760 0.2760 0.0000
Ag 0.7269 0.7269 0.0000
```

Which of these has the lowest volume?
CuAg3